(1)
7
Lattice="3.958 0.000 0.000 0.000 3.958 0.000 0.000 0.000 3.958" Properties=species:S:1:pos:R:3 comment="Cr4C3 meta-GGA SCAN PBEsol geometry" final_energy_ev_per_atom=-14.659 e_form_ev_per_atom=0.17 mass_density_g_cm3=6.537 vol_a3_per_atom=8.9 spacegroup="Pm-3m, No. 221" pbc="T T T"
Cr 0.000 0.000 0.000
Cr 0.000 1.979 1.979
Cr 1.979 0.000 1.979
Cr 1.979 1.979 0.000
C 0.000 0.000 1.979
C 0.000 1.979 0.000
C 1.979 0.000 0.000

***

(2)
4
Lattice="3.717 0.000 0.000 0.000 3.717 0.000 0.000 0.000 3.717" Properties=species:S:1:pos:R:3 comment="CrC3 meta-GGA SCAN PBEsol geometry" final_energy_ev_per_atom=-9.976 e_form_ev_per_atom=2.19 mass_density_g_cm3=2.846 vol_a3_per_atom=12.8 e_above_lowest_polymorph_mev_per_atom=595 spacegroup="Pm-3m, No. 221" pbc="T T T"
Cr 0.000 0.000 0.000
C 0.000 0.000 1.859
C 0.000 1.859 0.000
C 1.859 0.000 0.000

***

(3)
20
Lattice="5.419 0.000 0.000 0.000 2.760 0.000 0.000 0.000 11.356" Properties=species:S:1:pos:R:3 comment="Cr3C2 meta-GGA SCAN PBEsol geometry" final_energy_ev_per_atom=-15.161 e_form_ev_per_atom=-0.09 mass_density_g_cm3=7.039 vol_a3_per_atom=8.5 e_above_lowest_polymorph_mev_per_atom=0 spacegroup="Pnma, No. 62" pbc="T T T"
Cr 0.078 0.690 1.105
Cr 0.717 2.070 4.904
Cr 1.005 0.690 8.249
Cr 1.705 2.070 2.571
Cr 1.992 0.690 10.582
Cr 2.632 2.070 6.783
Cr 2.787 0.690 4.573
Cr 3.426 2.070 0.774
Cr 3.714 0.690 8.785
Cr 4.414 2.070 3.107
Cr 4.702 0.690 6.452
Cr 5.341 2.070 10.252
C 0.535 0.690 3.382
C 1.294 0.690 6.233
C 1.415 2.070 0.555
C 2.174 2.070 9.060
C 3.245 0.690 2.296
C 4.004 0.690 10.801
C 4.125 2.070 5.123
C 4.884 2.070 7.974

***

(4)
10
Lattice="1.393 -4.558 0.000 1.393 4.558 0.000 0.000 0.000 6.834" Properties=species:S:1:pos:R:3 comment="Cr3C2 meta-GGA SCAN PBEsol geometry" final_energy_ev_per_atom=-15.123 e_form_ev_per_atom=-0.05 mass_density_g_cm3=6.891 vol_a3_per_atom=8.7 e_above_lowest_polymorph_mev_per_atom=39 spacegroup="Cmcm, No. 63" pbc="T T T"
Cr 1.393 3.657 5.126
Cr 1.393 1.307 3.897
Cr 1.393 1.307 6.355
Cr 1.393 -1.307 0.479
Cr 1.393 -1.307 2.938
Cr 1.393 -3.657 1.709
C 0.000 0.000 0.000
C 0.000 0.000 3.417
C 1.393 2.249 1.709
C 1.393 -2.249 5.126

***

(5)
5
Lattice="-1.674 1.674 3.978 1.674 -1.674 3.978 1.674 1.674 -3.978" Properties=species:S:1:pos:R:3 comment="Cr2CuC2 meta-GGA SCAN PBEsol geometry" final_energy_ev_per_atom=-14.009 e_form_ev_per_atom=0.43 mass_density_g_cm3=7.136 vol_a3_per_atom=8.9 spacegroup="I4/mmm, No. 139" pbc="T T T"
Cr 1.674 0.000 1.989
Cr 0.000 1.674 1.989
Cu 0.000 0.000 0.000
C 0.000 0.000 3.222
C 0.000 0.000 4.733

***

(6)
5
Lattice="3.691 0.000 0.000 0.000 3.691 0.000 0.000 0.000 4.373" Properties=species:S:1:pos:R:3 comment="NbCrCuC2 meta-GGA SCAN PBEsol geometry" final_energy_ev_per_atom=-16.027 e_form_ev_per_atom=1.36 mass_density_g_cm3=6.478 vol_a3_per_atom=11.9 spacegroup="P4/mmm, No. 123" pbc="T T T"
Nb 0.000 0.000 0.000
Cr 1.846 1.846 2.187
Cu 1.846 1.846 0.000
C 0.000 1.846 2.187
C 1.846 0.000 2.187

***

(7)
5
Lattice="3.031 0.000 0.000 0.000 3.031 0.000 0.000 0.000 4.912" Properties=species:S:1:pos:R:3 comment="CrCN2F meta-GGA SCAN PBEsol geometry" final_energy_ev_per_atom=-9.022 mass_density_g_cm3=4.084 vol_a3_per_atom=9.0 spacegroup="P4/mmm, No. 123" formation_energy_uncorrected_kj_per_mol_atoms=106 pbc="T T T"
Cr 0.000 0.000 0.000
C 1.516 1.516 2.456
N 0.000 1.516 2.456
N 1.516 0.000 2.456
F 1.516 1.516 0.000

***

(8)
48
Lattice="5.493 0.000 0.000 0.000 8.753 0.000 -3.698 0.000 13.101" Properties=species:S:1:pos:R:3 comment="Sr2CrCO3F5 meta-GGA SCAN PBEsol geometry" final_energy_ev_per_atom=-12.290 mass_density_g_cm3=4.030 vol_a3_per_atom=13.1 spacegroup="P2_1/c, No. 14" formation_energy_uncorrected_kj_per_mol_atoms=-306 pbc="T T T"
Sr -0.443 0.941 5.279
Sr -2.292 3.436 11.829
Sr -0.472 5.619 5.419
Sr -2.321 7.511 11.969
Sr 4.117 1.242 1.132
Sr 2.268 3.135 7.682
Sr 4.088 5.317 1.272
Sr 2.239 7.813 7.823
Cr -0.806 5.503 8.768
Cr 1.042 7.627 2.217
Cr 0.753 1.127 10.884
Cr 2.602 3.250 4.334
C -0.586 1.089 8.343
C 1.263 3.288 1.793
C 0.533 5.465 11.308
C 2.381 7.665 4.758
O -1.679 1.057 7.639
O 0.170 3.319 1.089
O -0.697 1.129 9.632
O 1.152 3.248 3.081
O 0.555 1.078 7.739
O 2.404 3.298 1.188
O -0.608 5.455 11.913
O 1.240 7.675 5.362
O 0.644 5.506 10.020
O 2.493 7.624 3.469
O 1.626 5.434 12.012
O 3.475 7.696 5.462
F -3.320 1.129 12.235
F -1.471 3.247 5.685
F 0.044 6.283 3.101
F -1.805 6.847 9.652
F 0.104 0.318 2.989
F -1.745 4.059 9.539
F 1.842 6.265 1.130
F -0.007 6.866 7.681
F 1.971 0.115 1.112
F 0.122 4.262 7.663
F 1.673 4.491 5.438
F -0.176 8.639 11.989
F 1.803 1.888 5.420
F -0.046 2.489 11.971
F 3.540 4.695 3.562
F 1.692 8.436 10.112
F 3.601 1.907 3.450
F 1.752 2.470 10.000
F 3.267 5.506 7.417
F 5.116 7.624 0.866

***

(9)
29
Lattice="0.000 5.204 5.204 5.204 0.000 5.204 5.204 5.204 0.000" Properties=species:S:1:pos:R:3 comment="Cr21Fe2C6 meta-GGA SCAN PBEsol geometry" final_energy_ev_per_atom=-16.687 e_form_ev_per_atom=-0.03 mass_density_g_cm3=7.514 vol_a3_per_atom=9.7 spacegroup="Fm-3m, No. 225" pbc="T T T"
Cr 0.000 0.000 0.000
Cr 1.766 1.766 0.000
Cr 3.438 3.438 0.000
Cr 1.766 0.000 1.766
Cr 5.204 3.438 1.766
Cr 3.438 0.000 3.438
Cr 5.204 1.766 3.438
Cr 6.439 3.969 3.969
Cr 0.000 1.766 1.766
Cr 3.438 5.204 1.766
Cr 3.438 1.766 5.204
Cr 3.969 3.969 3.969
Cr 6.439 6.439 3.969
Cr 6.439 3.969 6.439
Cr 3.969 6.439 3.969
Cr 3.969 3.969 6.439
Cr 6.439 6.439 6.439
Cr 0.000 3.438 3.438
Cr 1.766 5.204 3.438
Cr 1.766 3.438 5.204
Cr 3.969 6.439 6.439
Fe 2.602 2.602 2.602
Fe 7.806 7.806 7.806
C 5.204 5.204 2.888
C 5.204 2.888 5.204
C 7.521 5.204 5.204
C 2.888 5.204 5.204
C 5.204 7.521 5.204
C 5.204 5.204 7.521

***

(10)
5
Lattice="3.819 0.000 0.000 0.000 3.819 0.000 0.000 0.000 4.414" Properties=species:S:1:pos:R:3 comment="Cr2InFeC meta-GGA SCAN PBEsol geometry" final_energy_ev_per_atom=-19.161 e_form_ev_per_atom=0.52 mass_density_g_cm3=7.392 vol_a3_per_atom=12.9 spacegroup="P4/mmm, No. 123" pbc="T T T"
Cr 0.000 1.910 0.000
Cr 1.910 0.000 0.000
In 0.000 0.000 2.207
Fe 1.910 1.910 2.207
C 0.000 0.000 0.000

***

(11)
28
Lattice="-3.989 4.001 5.656 3.989 -4.001 5.656 3.989 4.001 -5.656" Properties=species:S:1:pos:R:3 comment="Ta6Cr3Fe3C2 meta-GGA SCAN PBEsol geometry" final_energy_ev_per_atom=-38.082 e_form_ev_per_atom=-0.28 mass_density_g_cm3=13.182 vol_a3_per_atom=12.9 spacegroup="Imm2, No. 44" pbc="T T T"
Ta 0.000 0.000 0.000
Ta 2.431 2.435 -3.438
Ta 5.548 2.435 -3.438
Ta 1.561 2.439 -0.614
Ta 2.429 -1.562 5.042
Ta 3.989 0.000 2.835
Ta -1.559 1.566 2.217
Ta 1.559 1.566 2.217
Ta 0.000 0.000 4.434
Ta 1.561 5.563 -0.614
Ta 2.429 1.562 5.042
Ta 0.000 4.001 1.609
Cr 3.989 1.246 -1.474
Cr 3.989 2.001 0.823
Cr 0.000 2.755 4.182
Cr -2.002 4.001 3.639
Cr 2.002 4.001 3.639
Cr 0.000 2.000 6.479
Fe 2.745 0.000 0.293
Fe 5.234 0.000 0.293
Fe 2.765 4.001 1.346
Fe 1.224 0.000 7.002
Fe 3.989 2.793 3.067
Fe 0.000 1.208 8.722
C 0.000 1.996 0.801
C 1.992 4.001 -2.028
C 1.997 0.000 3.628
C 0.000 6.007 0.801

***

(12)
5
Lattice="4.035 0.000 0.000 0.000 4.035 0.000 0.000 0.000 3.875" Properties=species:S:1:pos:R:3 comment="YCr2FeC meta-GGA SCAN PBEsol geometry" final_energy_ev_per_atom=-18.384 e_form_ev_per_atom=0.18 mass_density_g_cm3=6.863 vol_a3_per_atom=12.6 spacegroup="P4/mmm, No. 123" pbc="T T T"
Y 0.000 0.000 0.000
Cr 0.000 2.018 1.937
Cr 2.018 0.000 1.937
Fe 2.018 2.018 0.000
C 2.018 2.018 1.937